The following is a PBE-GGA calculation of a relaxed AlHgBr2 crystal, from the Alexandria database.

The density comes out at 5.05 g/cm³. The density of states at the Fermi level is 1.08 states/eV/f.u. The value obtained for the energy above the most stable polymorph in this dataset is 0.0 kJ/mol of atoms. As for the space group: No. 6. Its uncorrected formation energy is -0.518 eV/atom.

a = 3.848 Å, b = 6.290 Å, c = 5.762 Å
α = 66.08°, β = 90.00°, γ = 90.00°
Sites, in units of the cell vectors:
Br 0.500 0.348 0.223
Br 0.000 0.913 0.908
Al 0.500 0.669 0.821
Hg 0.000 0.569 0.548



The following is a PBE-GGA calculation of a relaxed Ti8ReSb2 crystal, from the Alexandria database.

The density comes out at 6.85 g/cm³. The density of states at the Fermi level is 9.61 states/eV/f.u. As for the space group: No. 71. Its uncorrected formation energy is -0.299 eV/atom.

a = 4.626 Å, b = 6.280 Å, c = 7.821 Å
α = 113.66°, β = 107.20°, γ = 90.00°
Sites, in units of the cell vectors:
Ti 0.171 0.171 0.342
Ti 0.358 0.603 0.715
Ti 0.642 0.888 0.285
Ti 0.358 0.112 0.715
Ti 0.000 0.756 0.000
Ti 0.642 0.397 0.285
Ti 0.829 0.829 0.658
Ti 0.000 0.244 0.000
Sb 0.182 0.682 0.364
Sb 0.818 0.318 0.636
Re 0.500 0.000 0.000



The following is a PBE-GGA calculation of a relaxed Ho2Ga3GePt4 crystal, from the Alexandria database.

The calculation puts the energy relative to the elements at -9.28 eV/f.u. The density comes out at 12.47 g/cm³. The density of states at the Fermi level is 2.86 states/eV/f.u. As for the space group: No. 115.

a = 4.136 Å, b = 4.136 Å, c = 10.836 Å
α = 90.00°, β = 90.00°, γ = 90.00°
Sites, in units of the cell vectors:
Ga 0.000 0.500 0.136
Ga 0.500 0.000 0.864
Ga 0.000 0.000 0.500
Pt 0.500 0.000 0.638
Pt 0.000 0.500 0.362
Pt 0.000 0.000 0.000
Pt 0.500 0.500 0.000
Ho 0.500 0.000 0.254
Ho 0.000 0.500 0.746
Ge 0.500 0.500 0.500



The following is a PBE-GGA calculation of a relaxed LiYFe crystal, from the Alexandria database.

The calculation puts the energy relative to the elements at 0.50 eV/f.u. The density comes out at 4.31 g/cm³. The density of states at the Fermi level is 2.79 states/eV/f.u. The value obtained for the energy above the most stable polymorph in this dataset is 12.8 kJ/mol of atoms. As for the space group: No. 12.

a = 5.288 Å, b = 4.849 Å, c = 9.535 Å
α = 90.00°, β = 106.91°, γ = 90.00°
Sites, in units of the cell vectors:
Fe 0.155 0.000 0.600
Fe 0.845 0.000 0.400
Fe 0.155 0.500 0.100
Fe 0.845 0.500 0.900
Li 0.225 0.000 0.977
Li 0.225 0.500 0.477
Li 0.775 0.000 0.023
Li 0.775 0.500 0.523
Y 0.706 0.500 0.193
Y 0.294 0.500 0.807
Y 0.706 0.000 0.693
Y 0.294 0.000 0.307



Repeat the second record exactly.
The following is a PBE-GGA calculation of a relaxed Ti8ReSb2 crystal, from the Alexandria database.

The density comes out at 6.85 g/cm³. The density of states at the Fermi level is 9.61 states/eV/f.u. As for the space group: No. 71. Its uncorrected formation energy is -0.299 eV/atom.

a = 4.626 Å, b = 6.280 Å, c = 7.821 Å
α = 113.66°, β = 107.20°, γ = 90.00°
Sites, in units of the cell vectors:
Ti 0.171 0.171 0.342
Ti 0.358 0.603 0.715
Ti 0.642 0.888 0.285
Ti 0.358 0.112 0.715
Ti 0.000 0.756 0.000
Ti 0.642 0.397 0.285
Ti 0.829 0.829 0.658
Ti 0.000 0.244 0.000
Sb 0.182 0.682 0.364
Sb 0.818 0.318 0.636
Re 0.500 0.000 0.000



Q: What is the density in the fourth record?
A: 4.31 g/cm³